Here is an optimized crystal structure of EuRh2C from Alexandria via LeMat-Bulk. Energies are from PBE-GGA.

SG: No. 166
Formation enthalpy at 0 K (eV per atom): 0.232
Calculated density (g cm⁻³): 9.3
Calculated volume (Å³ per atom): 16.449

The structure in POSCAR format:
```
EuRh2C
1.0
3.261 0.000 0.000
1.631 2.824 0.000
1.631 0.941 7.143
Eu C Rh
1 1 2
direct
0.500 0.500 0.500
0.000 0.000 0.000
0.287 0.287 0.139
0.713 0.713 0.861
```